Entry from Alexandria via LeMat-Bulk: a relaxed Cs2CeW3O12 crystal (GGA+U).

Structure (POSCAR):
```
Cs2CeW3O12
1.0
3.743 2.161 6.439
-3.743 2.161 6.439
0.000 -4.322 6.439
Cs Ce W O
2 1 3 12
Cartesian
0.000 0.000 2.374 Cs
0.000 0.000 16.945 Cs
0.000 0.000 9.659 Ce
-1.871 -1.080 6.439 W
-1.871 1.080 12.879 W
0.000 2.161 6.439 W
-1.568 -0.906 8.326 O
0.000 -1.594 6.183 O
-1.380 0.797 6.183 O
0.000 -1.811 10.993 O
-1.568 0.906 10.993 O
-1.380 -0.797 13.136 O
1.380 0.797 6.183 O
1.568 -0.906 8.326 O
0.000 1.811 8.326 O
1.380 -0.797 13.136 O
0.000 1.594 13.136 O
1.568 0.906 10.993 O
```

Results
The space-group type is No. 166. The total energy comes out at -130.2 eV per cell.